No. 1
Here is an optimized crystal structure of SmDyNO from OQMD via LeMat-Bulk. Energies are from PBE.

Summary:
Crystal system ... orthorhombic
Total magnetization ... 0.0 μB per formula unit
Excess energy over the best structure of this formula in the dataset ... 32.2 meV per atom

a b c (Å): 4.0124 6.9714 4.9738
angles (deg): 90.00 90.00 90.00
With the nearest neighbours (Å) after each atom.
Space group Pmc2_1 (No. 26)
One atom of each set of equivalent atoms:
Sm 0.0000 0.1648 0.0000  3 N 2.35-2.49, 2 O 2.35
Dy 0.5000 0.3313 0.5002  3 O 2.28-2.49, 2 N 2.29
N 0.0000 0.1727 0.5003  2 Dy 2.29, 3 Sm 2.35-2.49
O 0.5000 0.3414 0.9988  3 Dy 2.28-2.49, 2 Sm 2.35

***

No. 2
Here is an optimized crystal structure of TbYNO from OQMD via LeMat-Bulk. Energies are from PBE.

Summary:
Crystal system ... orthorhombic
Total magnetization ... 0.0 μB per formula unit
Excess energy over the best structure of this formula in the dataset ... 106.6 meV per atom

a b c (Å): 3.9826 6.8907 4.9006
angles (deg): 90.00 90.00 90.00
With the nearest neighbours (Å) after each atom.
Space group Pmc2_1 (No. 26)
One atom of each set of equivalent atoms:
Tb 0.0000 0.1676 0.0000  2 O 2.28, 3 N 2.29-2.45
Y 0.5000 0.3344 0.5000  2 N 2.31, 3 O 2.33-2.45
N 0.0000 0.1650 0.5003  3 Tb 2.29-2.45, 2 Y 2.31
O 0.5000 0.3274 0.9992  2 Tb 2.28, 3 Y 2.33-2.45

***

No. 3
Here is an optimized crystal structure of LaSmNi8B2 from OQMD via LeMat-Bulk. Energies are from PBE.

Summary:
Crystal system ... hexagonal
Total magnetization ... 0.0 μB per formula unit
Excess energy over the best structure of this formula in the dataset ... 28.4 meV per atom

a b c (Å): 5.0808 5.0808 6.9777
angles (deg): 90.00 90.00 120.00
With the nearest neighbours (Å) after each atom.
Space group P6/mmm (No. 191)
One atom of each set of equivalent atoms:
La 0.0000 0.0000 0.0000  12 Ni 2.93, 6 B 2.93
Sm 0.0000 0.0000 0.5000  18 Ni 2.93-3.25
Ni 0.0000 0.5000 0.2087  2 B 2.07
Ni 0.3333 0.6667 0.5000  6 Ni 2.51
B 0.3333 0.6667 0.0000  6 Ni 2.07

***

Copy entry 2 word for word.
Here is an optimized crystal structure of TbYNO from OQMD via LeMat-Bulk. Energies are from PBE.

Summary:
Crystal system ... orthorhombic
Total magnetization ... 0.0 μB per formula unit
Excess energy over the best structure of this formula in the dataset ... 106.6 meV per atom

a b c (Å): 3.9826 6.8907 4.9006
angles (deg): 90.00 90.00 90.00
With the nearest neighbours (Å) after each atom.
Space group Pmc2_1 (No. 26)
One atom of each set of equivalent atoms:
Tb 0.0000 0.1676 0.0000  2 O 2.28, 3 N 2.29-2.45
Y 0.5000 0.3344 0.5000  2 N 2.31, 3 O 2.33-2.45
N 0.0000 0.1650 0.5003  3 Tb 2.29-2.45, 2 Y 2.31
O 0.5000 0.3274 0.9992  2 Tb 2.28, 3 Y 2.33-2.45

***

What did the first record say?
Here is an optimized crystal structure of SmDyNO from OQMD via LeMat-Bulk. Energies are from PBE.

Summary:
Crystal system ... orthorhombic
Total magnetization ... 0.0 μB per formula unit
Excess energy over the best structure of this formula in the dataset ... 32.2 meV per atom

a b c (Å): 4.0124 6.9714 4.9738
angles (deg): 90.00 90.00 90.00
With the nearest neighbours (Å) after each atom.
Space group Pmc2_1 (No. 26)
One atom of each set of equivalent atoms:
Sm 0.0000 0.1648 0.0000  3 N 2.35-2.49, 2 O 2.35
Dy 0.5000 0.3313 0.5002  3 O 2.28-2.49, 2 N 2.29
N 0.0000 0.1727 0.5003  2 Dy 2.29, 3 Sm 2.35-2.49
O 0.5000 0.3414 0.9988  3 Dy 2.28-2.49, 2 Sm 2.35

***

Copy entry 1 word for word.
Here is an optimized crystal structure of SmDyNO from OQMD via LeMat-Bulk. Energies are from PBE.

Summary:
Crystal system ... orthorhombic
Total magnetization ... 0.0 μB per formula unit
Excess energy over the best structure of this formula in the dataset ... 32.2 meV per atom

a b c (Å): 4.0124 6.9714 4.9738
angles (deg): 90.00 90.00 90.00
With the nearest neighbours (Å) after each atom.
Space group Pmc2_1 (No. 26)
One atom of each set of equivalent atoms:
Sm 0.0000 0.1648 0.0000  3 N 2.35-2.49, 2 O 2.35
Dy 0.5000 0.3313 0.5002  3 O 2.28-2.49, 2 N 2.29
N 0.0000 0.1727 0.5003  2 Dy 2.29, 3 Sm 2.35-2.49
O 0.5000 0.3414 0.9988  3 Dy 2.28-2.49, 2 Sm 2.35